A crystal of MnAlOs2 relaxed with PBEsol. Source: Alexandria, functional meta-GGA SCAN.

The structure in CIF format:
```
data_MnAlOs2
_cell_length_a 2.7220
_cell_length_b 3.8044
_cell_length_c 5.1845
_cell_angle_alpha 90.00
_cell_angle_beta 90.00
_cell_angle_gamma 90.00
_space_group_name_H-M_alt 'P m m 2'
_space_group_IT_number 25
_space_group_name_Hall 'P 2 -2'
loop_
_atom_site_label
_atom_site_type_symbol
_atom_site_fract_x
_atom_site_fract_y
_atom_site_fract_z
Mn1 Mn 0.0000 0.0000 0.0000
Al1 Al 0.5000 0.5000 0.7573
Os1 Os 0.0000 0.0000 0.5018
Os2 Os 0.5000 0.5000 0.2521
```

Properties
* ΔH_f (0 K): -23.97 kJ/mol of atoms
* M_tot: 3.11 Bohr magnetons per cell
* electronic total energy: -42.690 eV per atom